# 1
MgGa5Ir6, optimized geometry, DFT GGA-PBE; calculated formation energy = -0.453 eV per atom; space group = Cmmm, No. 65
1.0
2.165 -6.499 0.000
2.165 6.499 0.000
0.000 0.000 6.102
Mg Ga Ir
1 5 6
Cartesian
0.000 0.000 0.000 Mg
0.000 0.000 3.051 Ga
2.165 2.161 3.051 Ga
2.165 2.101 0.000 Ga
2.165 -2.101 0.000 Ga
2.165 -2.161 3.051 Ga
2.165 4.285 1.535 Ir
2.165 4.285 4.567 Ir
2.165 0.000 1.581 Ir
2.165 0.000 4.521 Ir
2.165 -4.285 1.535 Ir
2.165 -4.285 4.567 Ir

# 2
Pr4PbC, optimized geometry, DFT GGA-PBE; calculated formation energy = -0.082 eV per atom; space group = Cmcm, No. 63
1.0
5.022 -3.970 0.000
5.022 3.970 0.000
0.000 0.000 10.038
Pr Pb C
8 2 2
Cartesian
2.025 0.647 7.529 Pr
5.022 2.010 5.510 Pr
5.022 2.010 9.547 Pr
2.025 -0.647 2.510 Pr
8.019 0.647 7.529 Pr
5.022 -2.010 0.491 Pr
5.022 -2.010 4.528 Pr
8.019 -0.647 2.510 Pr
5.022 0.643 2.510 Pb
5.022 -0.643 7.529 Pb
5.022 3.331 7.529 C
5.022 -3.331 2.510 C

# 3
Ru3Rh5, optimized geometry, DFT GGA-PBE; calculated formation energy = 0.042 eV per atom; energy relative to the lowest polymorph listed for this composition = 28 meV/atom; space group = Cmmm, No. 65
1.0
3.813 -3.840 0.000
3.813 3.840 0.000
0.000 0.000 3.842
Ru Rh
3 5
Cartesian
0.000 0.000 0.000 Ru
1.890 0.000 1.921 Ru
5.737 0.000 1.921 Ru
1.907 1.920 0.000 Rh
3.813 1.938 1.921 Rh
1.907 -1.920 0.000 Rh
3.813 0.000 0.000 Rh
3.813 -1.938 1.921 Rh

no.,V (Å³/cell)
1,171.7
2,400.2
3,112.5